(1)
Below is In2GaHg2 after structural relaxation, with properties calculated at the PBE level.

It has space group I4/mmm (No. 139), with a = 4.4258 Å, b = 4.4258 Å, c = 14.0501 Å, α = 90.00°, β = 90.00° and γ = 90.00°. The asymmetric unit holds In at (0.0000, 0.5000, 0.2500), Ga at (0.0000, 0.0000, 0.0000) and Hg at (0.0000, 0.0000, 0.4001).

The calculation puts the total magnetic moment at 0.000 μB per atom. Its final energy is -1.6677 eV/atom. Its density of states at the Fermi level is 4.05 states/eV per cell. Its energy above the most stable polymorph in this dataset is 65 meV per atom. For the formation enthalpy at 0 K, the calculation gives 0.15 eV per atom.

***

(2)
Below is In7Ga2Hg3 after structural relaxation, with properties calculated at the PBE level.

It has space group Cmmm (No. 65), with a = 4.7536 Å, b = 28.2195 Å, c = 4.7586 Å, α = 90.00°, β = 90.00° and γ = 90.00°. The asymmetric unit holds In at (0.0000, 0.0000, 0.0000), In at (0.0000, 0.0850, 0.5000), In at (0.0000, 0.2096, 0.5000), In at (0.0000, 0.4147, 0.0000), Ga at (0.0000, 0.3515, 0.5000), Hg at (0.0000, 0.2909, 0.0000) and Hg at (0.0000, 0.5000, 0.5000).

The calculation puts the total magnetic moment at 0.000 μB per atom. Its final energy is -2.1335 eV/atom. Its density of states at the Fermi level is 10.87 states/eV per cell. For the formation enthalpy at 0 K, the calculation gives 0.04 eV per atom.

***

(3)
Below is In3GaHg2 after structural relaxation, with properties calculated at the PBE level.

It has space group P4/mmm (No. 123), with a = 3.5922 Å, b = 3.5922 Å, c = 11.8200 Å, α = 90.00°, β = 90.00° and γ = 90.00°. The asymmetric unit holds In at (0.0000, 0.0000, 0.0000), In at (0.0000, 0.0000, 0.3470), Ga at (0.5000, 0.5000, 0.5000) and Hg at (0.5000, 0.5000, 0.1728).

The calculation puts the total magnetic moment at 0.000 μB per atom. Its final energy is -1.9439 eV/atom. Its density of states at the Fermi level is 2.94 states/eV per cell. Its energy above the most stable polymorph in this dataset is 5 meV per atom. For the formation enthalpy at 0 K, the calculation gives 0.03 eV per atom.

***

(4)
Below is In3Ga2Hg3 after structural relaxation, with properties calculated at the PBE level.

It has space group P-1 (No. 2), with a = 4.4895 Å, b = 4.7818 Å, c = 10.0673 Å, α = 89.95°, β = 78.19° and γ = 90.00°. The asymmetric unit holds In at (0.0000, 0.0000, 0.0000), In at (0.1158, 0.4999, 0.7717), Ga at (0.2804, 0.5001, 0.4342), Hg at (0.3657, 0.0003, 0.2871) and Hg at (0.5000, 0.5000, 0.0000).

The calculation puts the total magnetic moment at 0.000 μB per atom. Its final energy is -1.8511 eV/atom. Its density of states at the Fermi level is 3.24 states/eV per cell. For the formation enthalpy at 0 K, the calculation gives 0.05 eV per atom.

***

(5)
Below is In5GaHg2 after structural relaxation, with properties calculated at the PBE level.

It has space group Pbam (No. 55), with a = 7.0353 Å, b = 12.7314 Å, c = 4.6092 Å, α = 90.00°, β = 90.00° and γ = 90.00°. The asymmetric unit holds In at (0.0000, 0.0000, 0.0000), In at (0.0663, 0.2565, 0.0000), In at (0.1943, 0.6090, 0.5000), Ga at (0.0000, 0.5000, 0.0000) and Hg at (0.1946, 0.8652, 0.5000).

The calculation puts the total magnetic moment at 0.000 μB per atom. Its final energy is -2.1382 eV/atom. Its density of states at the Fermi level is 6.87 states/eV per cell. Its energy above the most stable polymorph in this dataset is 0 meV per atom. For the formation enthalpy at 0 K, the calculation gives 0.03 eV per atom.

***

(6)
Below is InGa2Hg5 after structural relaxation, with properties calculated at the PBE level.

It has space group P-1 (No. 2), with a = 4.7616 Å, b = 7.7443 Å, c = 11.2161 Å, α = 90.23°, β = 90.12° and γ = 105.73°. The asymmetric unit holds In at (0.0946, 0.2165, 0.2485), Ga at (0.4957, 0.9823, 0.6242), Ga at (0.4956, 0.9832, 0.8759), Hg at (0.0898, 0.1947, 0.5844), Hg at (0.0902, 0.1961, 0.9135), Hg at (0.3074, 0.6013, 0.5800), Hg at (0.3096, 0.6027, 0.9225) and Hg at (0.3263, 0.6261, 0.2520).

The calculation puts the total magnetic moment at 0.000 μB per atom. Its final energy is -1.2497 eV/atom. Its density of states at the Fermi level is 4.44 states/eV per cell. For the formation enthalpy at 0 K, the calculation gives 0.04 eV per atom.

***

(7)
Below is In2GaHg4 after structural relaxation, with properties calculated at the PBE level.

It has space group Pbca (No. 61), with a = 5.9409 Å, b = 7.2679 Å, c = 16.8669 Å, α = 90.00°, β = 90.00° and γ = 90.00°. The asymmetric unit holds In at (0.1308, 0.2172, 0.1225), Ga at (0.0000, 0.0000, 0.5000), Hg at (0.0869, 0.0417, 0.2852) and Hg at (0.1008, 0.1433, 0.9245).

The calculation puts the total magnetic moment at 0.000 μB per atom. Its final energy is -1.3459 eV/atom. Its density of states at the Fermi level is 9.67 states/eV per cell. Its energy above the most stable polymorph in this dataset is 9 meV per atom. For the formation enthalpy at 0 K, the calculation gives 0.04 eV per atom.

***

(8)
Below is In3Ga2Hg8 after structural relaxation, with properties calculated at the PBE level.

It has space group P-1 (No. 2), with a = 4.9757 Å, b = 7.5215 Å, c = 9.4060 Å, α = 107.22°, β = 93.17° and γ = 91.67°. The asymmetric unit holds In at (0.0000, 0.0000, 0.0000), In at (0.4910, 0.2720, 0.9191), Ga at (0.0047, 0.6920, 0.5754), Hg at (0.0061, 0.5559, 0.8452), Hg at (0.0137, 0.8979, 0.3231), Hg at (0.4926, 0.1712, 0.2410) and Hg at (0.4968, 0.6551, 0.3932).

The calculation puts the total magnetic moment at 0.000 μB per atom. Its final energy is -1.2498 eV/atom. Its density of states at the Fermi level is 4.42 states/eV per cell. For the formation enthalpy at 0 K, the calculation gives 0.03 eV per atom.